# 1
A plane-wave DFT calculation with PBE was carried out for a geometry-optimized AcPr2SbN4 structure.

Summary:
* D(E_F): 7.1 states/eV per cell
* electronic total energy: -7.0322 eV/atom
* uncorrected formation energy: -0.646 eV/atom

a b c (Å): 3.8695 6.4423 12.4363
angles (deg): 90.00 90.00 107.48
Fractional coordinates of all 16 atoms:
N1 0.4204 0.8407 0.7500
N2 0.2782 0.5565 0.1308
N3 0.0000 0.0000 0.5000
N4 0.2782 0.5565 0.3692
N5 0.0000 0.0000 0.0000
N6 0.7218 0.4435 0.8692
N7 0.7218 0.4435 0.6308
N8 0.5796 0.1593 0.2500
Pr1 0.3712 0.7425 0.9610
Pr2 0.6288 0.2576 0.0390
Pr3 0.3712 0.7425 0.5390
Pr4 0.6288 0.2576 0.4610
Sb1 0.8407 0.6815 0.7500
Sb2 0.1593 0.3185 0.2500
Ac1 0.1035 0.2069 0.7500
Ac2 0.8965 0.7931 0.2500


# 2
A plane-wave DFT calculation with PBE was carried out for a geometry-optimized AcPrSeN structure.

Summary:
* D(E_F): 1.2 states/eV per cell
* electronic total energy: -6.6900 eV/atom
* uncorrected formation energy: -1.515 eV/atom

a b c (Å): 3.9629 3.9629 7.4131
angles (deg): 74.50 74.50 60.00
Fractional coordinates of all 4 atoms:
Pr1 0.7349 0.7349 0.7952
Se1 0.4958 0.4958 0.5125
N1 0.0037 0.0037 0.9890
Ac1 0.2656 0.2656 0.2033


# 3
A plane-wave DFT calculation with PBE was carried out for a geometry-optimized AcPr2SiN4 structure.

Summary:
* D(E_F): 2.9 states/eV per cell
* electronic total energy: -7.6511 eV/atom
* uncorrected formation energy: -1.102 eV/atom

a b c (Å): 3.5864 6.2991 12.1814
angles (deg): 90.00 90.00 106.54
Fractional coordinates of all 16 atoms:
Ac1 0.9107 0.8215 0.2500
Ac2 0.0893 0.1785 0.7500
N1 0.7291 0.4582 0.8641
N2 0.3968 0.7936 0.7500
N3 0.2709 0.5418 0.1359
N4 0.2709 0.5418 0.3641
N5 0.0000 0.0000 0.0000
N6 0.0000 0.0000 0.5000
N7 0.6032 0.2064 0.2500
N8 0.7291 0.4582 0.6359
Pr1 0.3674 0.7349 0.5435
Pr2 0.6326 0.2651 0.0435
Pr3 0.6326 0.2651 0.4565
Pr4 0.3674 0.7349 0.9565
Si1 0.8167 0.6335 0.7500
Si2 0.1833 0.3665 0.2500


# 4
A plane-wave DFT calculation with PBE was carried out for a geometry-optimized AcPrSnN3 structure.

Summary:
* D(E_F): 6.1 states/eV per cell
* electronic total energy: -6.8762 eV/atom
* uncorrected formation energy: -0.565 eV/atom

a b c (Å): 3.6546 7.8461 8.3525
angles (deg): 90.63 90.00 90.00
Fractional coordinates of all 12 atoms:
Sn1 0.7500 0.8432 0.4134
Sn2 0.2500 0.1568 0.5866
Pr1 0.2500 0.6070 0.1545
Pr2 0.7500 0.3930 0.8455
N1 0.2500 0.1290 0.8529
N2 0.2500 0.6127 0.8802
N3 0.7500 0.3873 0.1198
N4 0.7500 0.8710 0.1471
N5 0.7500 0.1250 0.4390
N6 0.2500 0.8750 0.5610
Ac1 0.7500 0.8568 0.8303
Ac2 0.2500 0.1432 0.1697


# 5
A plane-wave DFT calculation with PBE was carried out for a geometry-optimized Ac2PrSnN4 structure.

Summary:
* D(E_F): 1.7 states/eV per cell
* electronic total energy: -6.9114 eV/atom
* uncorrected formation energy: -0.624 eV/atom

a b c (Å): 3.8317 6.4873 13.0241
angles (deg): 90.00 90.00 107.18
Fractional coordinates of all 16 atoms:
N1 0.0000 0.0000 0.0000
N2 0.4342 0.8683 0.7500
N3 0.0000 0.0000 0.5000
N4 0.7214 0.4428 0.6337
N5 0.7214 0.4428 0.8663
N6 0.5658 0.1317 0.2500
N7 0.2786 0.5572 0.1337
N8 0.2786 0.5572 0.3663
Ac1 0.3705 0.7410 0.5416
Ac2 0.3705 0.7410 0.9584
Ac3 0.6295 0.2590 0.4584
Ac4 0.6295 0.2590 0.0416
Pr1 0.8906 0.7812 0.2500
Pr2 0.1094 0.2188 0.7500
Sn1 0.1584 0.3168 0.2500
Sn2 0.8416 0.6832 0.7500


# 6
A plane-wave DFT calculation with PBE was carried out for a geometry-optimized Ac2Pr2Sn2N structure.

Summary:
* D(E_F): 5.7 states/eV per cell
* electronic total energy: -5.7483 eV/atom
* uncorrected formation energy: -0.876 eV/atom

a b c (Å): 5.0271 5.0271 9.4013
angles (deg): 105.51 105.51 90.00
Fractional coordinates of all 7 atoms:
Ac1 0.8345 0.8345 0.6690
Ac2 0.1655 0.1655 0.3310
N1 0.0000 0.0000 0.0000
Sn1 0.6345 0.6345 0.2691
Sn2 0.3655 0.3655 0.7309
Pr1 0.5000 0.0000 0.0000
Pr2 0.0000 0.5000 0.0000